one.
First-principles (PBE-GGA) data for a relaxed PrNdSmMg crystal, as listed in Alexandria.

Unit cell a=3.7282 b=3.7282 c=9.2950 alpha=90.00 beta=90.00 gamma=90.00
Fractional coordinates of all 4 atoms:
Pr1 0.5000 0.5000 0.3422
Nd1 0.0000 0.0000 0.0671
Sm1 0.5000 0.5000 0.7997
Mg1 0.0000 0.0000 0.5757

Crystal system = tetragonal
N(E_F) = 1.132 states/eV per atom

two.
First-principles (PBE-GGA) data for a relaxed PrNdSmMg crystal, as listed in Alexandria.

Unit cell a=5.6667 b=5.6667 c=5.6667 alpha=60.00 beta=60.00 gamma=60.00
Fractional coordinates of all 4 atoms:
Pr1 0.7500 0.7500 0.7500
Mg1 0.5000 0.5000 0.5000
Nd1 0.2500 0.2500 0.2500
Sm1 0.0000 0.0000 0.0000

Crystal system = cubic
N(E_F) = 1.482 states/eV per atom

Result of the stability comparison: two is the least stable of them.

one.
First-principles (PBE-GGA) data for a relaxed Nd2MgPt crystal, as listed in Alexandria.

Unit cell a=3.7412 b=3.7412 c=7.5185 alpha=90.00 beta=90.00 gamma=90.00
Fractional coordinates of all 4 atoms:
Mg1 0.5000 0.5000 0.5000
Nd1 0.0000 0.0000 0.7782
Nd2 0.0000 0.0000 0.2218
Pt1 0.5000 0.5000 0.0000

Crystal system = tetragonal
N(E_F) = 1.017 states/eV per atom

two.
First-principles (PBE-GGA) data for a relaxed Nd2MgPt crystal, as listed in Alexandria.

Unit cell a=4.1716 b=4.1716 c=10.3520 alpha=78.38 beta=78.38 gamma=60.00
Fractional coordinates of all 4 atoms:
Mg1 0.0000 0.0000 0.0000
Nd1 0.1153 0.1153 0.6542
Nd2 0.8847 0.8847 0.3458
Pt1 0.5000 0.5000 0.5000

Crystal system = trigonal
N(E_F) = 0.825 states/eV per atom

three.
First-principles (PBE-GGA) data for a relaxed Nd2MgPt crystal, as listed in Alexandria.

Unit cell a=5.2556 b=5.2556 c=5.2556 alpha=60.00 beta=60.00 gamma=60.00
Fractional coordinates of all 4 atoms:
Mg1 0.0000 0.0000 0.0000
Nd1 0.2500 0.2500 0.2500
Nd2 0.7500 0.7500 0.7500
Pt1 0.5000 0.5000 0.5000

Crystal system = cubic
N(E_F) = 0.975 states/eV per atom

Result of the stability comparison: two is the least stable of them.

one.
First-principles (PBE-GGA) data for a relaxed NdPuMg2 crystal, as listed in Alexandria.

Unit cell a=3.2810 b=3.2810 c=10.1329 alpha=90.00 beta=90.00 gamma=90.00
Each line ends with the local moment (μB).
Fractional coordinates of all 4 atoms:
Mg1 0.0000 0.0000 0.7540  0.00
Mg2 0.0000 0.0000 0.2460  0.00
Nd1 0.5000 0.5000 0.5000  0.00
Pu1 0.5000 0.5000 0.0000  5.63

Crystal system = tetragonal
N(E_F) = 2.330 states/eV per atom

two.
First-principles (PBE-GGA) data for a relaxed NdPuMg2 crystal, as listed in Alexandria.

Unit cell a=4.9291 b=4.7500 c=4.7500 alpha=90.00 beta=90.00 gamma=90.00
Each line ends with the local moment (μB).
Fractional coordinates of all 4 atoms:
Mg1 0.0000 0.0000 0.5000  0.00
Mg2 0.0000 0.5000 0.0000  0.00
Nd1 0.5000 0.0000 0.0000  0.16
Pu1 0.5000 0.5000 0.5000  5.58

Crystal system = tetragonal
N(E_F) = 3.361 states/eV per atom

Result of the stability comparison: two is the least stable of them.

one.
First-principles (PBE-GGA) data for a relaxed NdPu2Mg crystal, as listed in Alexandria.

Unit cell a=3.2772 b=3.2772 c=10.4858 alpha=90.00 beta=90.00 gamma=90.00
Each line ends with the local moment (μB).
Fractional coordinates of all 4 atoms:
Mg1 0.5000 0.5000 0.0000  0.00
Nd1 0.5000 0.5000 0.5000  -0.09
Pu1 0.0000 0.0000 0.7621  5.56
Pu2 0.0000 0.0000 0.2379  5.56

Crystal system = tetragonal
N(E_F) = 4.013 states/eV per atom

two.
First-principles (PBE-GGA) data for a relaxed NdPu2Mg crystal, as listed in Alexandria.

Unit cell a=5.2801 b=4.6133 c=4.6133 alpha=90.00 beta=90.00 gamma=90.00
Each line ends with the local moment (μB).
Fractional coordinates of all 4 atoms:
Mg1 0.5000 0.5000 0.5000  0.00
Nd1 0.5000 0.0000 0.0000  0.17
Pu1 0.0000 0.0000 0.5000  5.65
Pu2 0.0000 0.5000 0.0000  5.65

Crystal system = tetragonal
N(E_F) = 3.548 states/eV per atom

Result of the stability comparison: one is the least stable of them.

one.
First-principles (PBE-GGA) data for a relaxed NdPuMg crystal, as listed in Alexandria.

Unit cell a=3.3962 b=3.3962 c=7.8800 alpha=102.44 beta=102.44 gamma=90.00
Each line ends with the local moment (μB).
Fractional coordinates of all 3 atoms:
Mg1 0.6690 0.6690 0.3381  0.00
Nd1 0.0030 0.0030 0.0060  -0.02
Pu1 0.3280 0.3280 0.6559  5.59

Crystal system = tetragonal
N(E_F) = 2.881 states/eV per atom

two.
First-principles (PBE-GGA) data for a relaxed NdPuMg crystal, as listed in Alexandria.

Unit cell a=3.2267 b=5.5254 c=5.5254 alpha=120.00 beta=90.00 gamma=90.00
Each line ends with the local moment (μB).
Fractional coordinates of all 3 atoms:
Mg1 0.3234 0.3333 0.6667  -0.01
Nd1 0.6379 0.6667 0.3333  -0.01
Pu1 0.0387 0.0000 0.0000  5.58

Crystal system = trigonal
N(E_F) = 2.968 states/eV per atom

Result of the stability comparison: two is the least stable of them.

one.
First-principles (PBE-GGA) data for a relaxed Nd2MgRh crystal, as listed in Alexandria.

Unit cell a=5.2192 b=5.2192 c=5.2192 alpha=60.00 beta=60.00 gamma=60.00
Fractional coordinates of all 4 atoms:
Rh1 0.0000 0.0000 0.0000
Mg1 0.5000 0.5000 0.5000
Nd1 0.2500 0.2500 0.2500
Nd2 0.7500 0.7500 0.7500

Crystal system = cubic
N(E_F) = 0.695 states/eV per atom

two.
First-principles (PBE-GGA) data for a relaxed Nd2MgRh crystal, as listed in Alexandria.

Unit cell a=3.9835 b=3.9835 c=10.5003 alpha=79.07 beta=79.07 gamma=60.00
Fractional coordinates of all 4 atoms:
Rh1 0.5000 0.5000 0.5000
Mg1 0.0000 0.0000 0.0000
Nd1 0.1146 0.1146 0.6563
Nd2 0.8854 0.8854 0.3437

Crystal system = trigonal
N(E_F) = 0.579 states/eV per atom

three.
First-principles (PBE-GGA) data for a relaxed Nd2MgRh crystal, as listed in Alexandria.

Unit cell a=3.9996 b=3.9968 c=8.9710 alpha=102.89 beta=90.02 gamma=120.02
Fractional coordinates of all 4 atoms:
Nd1 0.8541 0.4651 0.3624
Nd2 0.3139 0.3846 0.7423
Mg1 0.0848 0.9245 0.0521
Rh1 0.5838 0.9248 0.5523

Crystal system = trigonal
N(E_F) = 0.692 states/eV per atom

four.
First-principles (PBE-GGA) data for a relaxed Nd2MgRh crystal, as listed in Alexandria.

Unit cell a=3.6569 b=3.6569 c=7.7847 alpha=90.00 beta=90.00 gamma=90.00
Fractional coordinates of all 4 atoms:
Rh1 0.5000 0.5000 0.0000
Mg1 0.5000 0.5000 0.5000
Nd1 0.0000 0.0000 0.7865
Nd2 0.0000 0.0000 0.2135

Crystal system = tetragonal
N(E_F) = 0.649 states/eV per atom

Result of the stability comparison: two is the least stable of them.